VASP calculation (GGA-PBE) on a relaxed structure of BaAl2Rh2.

Cell lengths 7.8624, 7.8624, 3.0124 Å; angles 90.00, 90.00, 90.00 degrees
Closest atoms and distances in Å follow each position.
Fractional coordinates of all 10 atoms:
Ba: 0.0000 0.0000 0.0000  4 Rh 3.00, 2 Ba 3.01
Ba: 0.5000 0.5000 0.0000  4 Rh 3.00, 2 Ba 3.01
Al: 0.1280 0.3720 0.5000  6 Rh 2.64-2.91, 1 Al 2.85
Al: 0.3720 0.8720 0.5000  6 Rh 2.64-2.91, 1 Al 2.85
Al: 0.6280 0.1280 0.5000  6 Rh 2.64-2.91, 1 Al 2.85
Al: 0.8720 0.6280 0.5000  6 Rh 2.64-2.91, 1 Al 2.85
Rh: 0.1476 0.6476 0.0000  6 Al 2.64-2.91
Rh: 0.3524 0.1476 0.0000  6 Al 2.64-2.91
Rh: 0.6476 0.8524 0.0000  6 Al 2.64-2.91
Rh: 0.8524 0.3524 0.0000  6 Al 2.64-2.91

Results
- formation energy (eV/atom) = -0.50
- magnetization (μB/f.u.) = 0.00
- mass density (g/cm3) = 7.08

=====

VASP calculation (GGA-PBE) on a relaxed structure of Ba2AlRh.

Cell lengths 5.5849, 5.5849, 5.5849 Å; angles 60.00, 60.00, 60.00 degrees
Closest atoms and distances in Å follow each position.
Fractional coordinates of all 4 atoms:
Ba: 0.2500 0.2500 0.2500  4 Rh 3.42, 4 Al 3.42
Ba: 0.7500 0.7500 0.7500  4 Al 3.42, 4 Rh 3.42
Al: 0.0000 0.0000 0.0000  8 Ba 3.42
Rh: 0.5000 0.5000 0.5000  8 Ba 3.42

Results
- formation energy (eV/atom) = 0.09
- energy above the most stable polymorph in this dataset (meV/atom) = 478
- magnetization (μB/f.u.) = 0.00
- mass density (g/cm3) = 5.45

=====

VASP calculation (GGA-PBE) on a relaxed structure of BaAl4Rh.

Cell lengths 5.6006, 5.6006, 5.6006 Å; angles 60.00, 60.00, 60.00 degrees
Closest atoms and distances in Å follow each position.
Fractional coordinates of all 6 atoms:
Ba: 0.0000 0.0000 0.0000  12 Al 3.28, 4 Rh 3.43
Al: 0.3753 0.3753 0.3753  6 Al 2.79-2.81
Al: 0.3753 0.3753 0.8740  6 Al 2.79-2.81
Al: 0.3753 0.8740 0.3753  6 Al 2.79-2.81
Al: 0.8740 0.3753 0.3753  6 Al 2.79-2.81
Rh: 0.7500 0.7500 0.7500  12 Al 3.28, 4 Ba 3.43

Results
- formation energy (eV/atom) = 0.09
- magnetization (μB/f.u.) = 0.00
- mass density (g/cm3) = 4.65

=====

VASP calculation (GGA-PBE) on a relaxed structure of BaAl3Rh.

Cell lengths 4.4785, 4.4785, 6.3774 Å; angles 110.60, 110.60, 89.84 degrees
Closest atoms and distances in Å follow each position.
Fractional coordinates of all 5 atoms:
Ba: 0.0000 0.0000 0.0000  12 Al 3.36-3.61, 4 Rh 3.49-3.50
Al: 0.2562 0.7562 0.5119  2 Rh 2.55-2.56, 2 Al 2.82
Al: 0.6010 0.6010 0.2026  1 Rh 2.59, 4 Al 2.82
Al: 0.7562 0.2562 0.5119  2 Rh 2.55-2.56, 2 Al 2.82
Rh: 0.3675 0.3675 0.7340  5 Al 2.55-2.59

Results
- formation energy (eV/atom) = -0.42
- magnetization (μB/f.u.) = 0.00
- mass density (g/cm3) = 4.80

=====

VASP calculation (GGA-PBE) on a relaxed structure of Ba2AlRh.

Cell lengths 9.3673, 9.3673, 9.3673 Å; angles 26.31, 26.31, 26.31 degrees
Closest atoms and distances in Å follow each position.
Fractional coordinates of all 4 atoms:
Ba: 0.2344 0.2344 0.2344  3 Rh 3.07
Ba: 0.7656 0.7656 0.7656  3 Rh 3.07
Al: 0.0000 0.0000 0.0000  6 Ba 3.64
Rh: 0.5000 0.5000 0.5000  6 Ba 3.07

Results
- formation energy (eV/atom) = 0.19
- energy above the most stable polymorph in this dataset (meV/atom) = 574
- magnetization (μB/f.u.) = 0.00
- mass density (g/cm3) = 4.72

=====

VASP calculation (GGA-PBE) on a relaxed structure of Ba2AlRh.

Cell lengths 5.3590, 5.3590, 4.2601 Å; angles 90.00, 90.00, 90.14 degrees
Closest atoms and distances in Å follow each position.
Fractional coordinates of all 4 atoms:
Ba: 0.0000 0.5000 0.0000  4 Rh 3.42, 4 Al 3.42, 4 Ba 3.78-3.79
Ba: 0.5000 0.0000 0.0000  4 Rh 3.42, 4 Al 3.42, 4 Ba 3.78-3.79
Al: 0.0000 0.0000 0.5000  8 Ba 3.42, 4 Rh 3.78-3.79
Rh: 0.5000 0.5000 0.5000  8 Ba 3.42, 4 Al 3.78-3.79

Results
- formation energy (eV/atom) = 0.08
- energy above the most stable polymorph in this dataset (meV/atom) = 474
- magnetization (μB/f.u.) = 0.00
- mass density (g/cm3) = 5.49

=====

VASP calculation (GGA-PBE) on a relaxed structure of Ba2Al2Rh.

Cell lengths 5.9484, 5.9484, 5.9484 Å; angles 112.58, 112.58, 103.43 degrees
Closest atoms and distances in Å follow each position.
Fractional coordinates of all 5 atoms:
Ba: 0.2500 0.7500 0.5000  4 Al 3.35, 2 Ba 3.69
Ba: 0.7500 0.2500 0.5000  4 Al 3.35, 2 Ba 3.69
Al: 0.1706 0.1706 0.0000  1 Rh 2.43, 1 Al 2.52
Al: 0.8294 0.8294 0.0000  1 Rh 2.43, 1 Al 2.52
Rh: 0.5000 0.5000 0.0000  2 Al 2.43

Results
- formation energy (eV/atom) = 0.07
- energy above the most stable polymorph in this dataset (meV/atom) = 154
- magnetization (μB/f.u.) = 0.00
- mass density (g/cm3) = 4.46

=====

VASP calculation (GGA-PBE) on a relaxed structure of BaAl4Rh.

Cell lengths 8.8092, 8.8092, 8.8092 Å; angles 139.26, 139.26, 58.98 degrees
Closest atoms and distances in Å follow each position.
Fractional coordinates of all 12 atoms:
Ba: 0.0000 0.0000 0.0000  8 Al 3.60, 2 Rh 3.83
Ba: 0.5000 0.5000 0.0000  8 Al 3.60, 2 Rh 3.83
Al: 0.0251 0.5251 0.1912  2 Rh 2.56, 2 Al 2.68-2.73
Al: 0.1661 0.9749 0.5000  2 Rh 2.56, 2 Al 2.68-2.73
Al: 0.3339 0.8339 0.8088  2 Rh 2.56, 2 Al 2.68-2.73
Al: 0.4749 0.6661 0.5000  2 Rh 2.56, 2 Al 2.68-2.73
Al: 0.5251 0.3339 0.5000  2 Rh 2.56, 2 Al 2.68-2.73
Al: 0.6661 0.1661 0.1912  2 Rh 2.56, 2 Al 2.68-2.73
Al: 0.8339 0.0251 0.5000  2 Rh 2.56, 2 Al 2.68-2.73
Al: 0.9749 0.4749 0.8088  2 Rh 2.56, 2 Al 2.68-2.73
Rh: 0.2500 0.2500 0.0000  8 Al 2.56
Rh: 0.7500 0.7500 0.0000  8 Al 2.56

Results
- formation energy (eV/atom) = -0.34
- magnetization (μB/f.u.) = 0.00
- mass density (g/cm3) = 4.01

=====

VASP calculation (GGA-PBE) on a relaxed structure of BaAl3Rh.

Cell lengths 4.8383, 4.8383, 4.8383 Å; angles 90.00, 90.00, 90.00 degrees
Closest atoms and distances in Å follow each position.
Fractional coordinates of all 5 atoms:
Ba: 0.0000 0.0000 0.0000  12 Al 3.42
Al: 0.0000 0.5000 0.5000  2 Rh 2.42
Al: 0.5000 0.0000 0.5000  2 Rh 2.42
Al: 0.5000 0.5000 0.0000  2 Rh 2.42
Rh: 0.5000 0.5000 0.5000  6 Al 2.42

Results
- formation energy (eV/atom) = -0.49
- magnetization (μB/f.u.) = 0.00
- mass density (g/cm3) = 4.71

=====

VASP calculation (GGA-PBE) on a relaxed structure of Ba2AlRh.

Cell lengths 3.6229, 3.6229, 9.5961 Å; angles 90.00, 90.00, 90.00 degrees
Closest atoms and distances in Å follow each position.
Fractional coordinates of all 4 atoms:
Ba: 0.0000 0.0000 0.0000  1 Rh 3.06
Ba: 0.5000 0.5000 0.4220  1 Al 3.18
Al: 0.5000 0.5000 0.7532  4 Rh 2.65
Rh: 0.0000 0.0000 0.6808  4 Al 2.65

Results
- formation energy (eV/atom) = -0.17
- energy above the most stable polymorph in this dataset (meV/atom) = 215
- magnetization (μB/f.u.) = 0.00
- mass density (g/cm3) = 5.33

=====

VASP calculation (GGA-PBE) on a relaxed structure of BaAl2RhSe.

Cell lengths 4.7346, 4.7346, 6.1804 Å; angles 90.00, 90.00, 90.00 degrees
Closest atoms and distances in Å follow each position.
Fractional coordinates of all 5 atoms:
Ba: 0.0000 0.0000 0.0000  2 Rh 3.09, 4 Se 3.35
Al: 0.0000 0.5000 0.5000  2 Rh 2.37
Al: 0.5000 0.0000 0.5000  2 Rh 2.37
Rh: 0.0000 0.0000 0.5000  4 Al 2.37
Se: 0.5000 0.5000 0.0000  4 Ba 3.35

Results
- formation energy (no corrections) (eV per atom) = -0.591
- magnetization (μB/f.u.) = 0.00
- mass density (g/cm3) = 4.47

=====

VASP calculation (GGA-PBE) on a relaxed structure of BaSrAl2Rh.

Cell lengths 4.9828, 4.9828, 5.5752 Å; angles 90.00, 90.00, 90.00 degrees
Closest atoms and distances in Å follow each position.
Fractional coordinates of all 5 atoms:
Ba: 0.0000 0.0000 0.0000  4 Sr 3.52, 8 Al 3.74
Sr: 0.5000 0.5000 0.0000  2 Rh 2.79
Al: 0.0000 0.5000 0.5000  2 Rh 2.49
Al: 0.5000 0.0000 0.5000  2 Rh 2.49
Rh: 0.5000 0.5000 0.5000  4 Al 2.49, 2 Sr 2.79

Results
- formation energy (eV/atom) = -0.30
- magnetization (μB/f.u.) = 0.00
- mass density (g/cm3) = 4.58